No. 1
BaTmSiO4: relaxed, PBE.

The structure belongs to space group F-43m (No. 216); the cell edges are 8.572, 8.572 and 8.572 Å and the angles 90.00°, 90.00° and 90.00°. Symmetry generates all atoms from Ba at (0.000, 0.000, 0.000), Tm at (0.250, 0.250, 0.750), Si at (0.000, 0.000, 0.500) and O at (0.111, 0.111, 0.611).

The calculation puts the total DFT energy (no corrections) at -200.33 eV per cell.



No. 2
Tc2OsCl: relaxed, PBE.

The structure belongs to space group R3m (No. 160, hexagonal axes); the cell edges are 2.8197, 2.8197 and 26.2111 Å and the angles 90.00°, 90.00° and 120.00°. Symmetry generates all atoms from Tc at (0.0000, 0.0000, 0.0000), Tc at (0.0000, 0.0000, 0.2489), Os at (0.0000, 0.0000, 0.7458) and Cl at (0.0000, 0.0000, 0.5090).

For the energy above the most stable polymorph in this dataset, the calculation gives 0.075 eV/atom.



No. 3
NbCoN2Cl: relaxed, PBE.

The structure belongs to space group Amm2 (No. 38); the cell edges are 3.362, 4.089 and 11.934 Å and the angles 90.00°, 90.00° and 90.00°. Symmetry generates all atoms from Nb at (0.000, 0.000, 0.000), Co at (0.500, 0.000, 0.567), N at (0.000, 0.000, 0.490), N at (0.500, 0.000, 0.093) and Cl at (0.500, 0.000, 0.831).

For the energy above the most stable polymorph in this dataset, the calculation gives 0.019 eV/atom.



No. 4
Lu2Ga3Cu: relaxed, PBE.

The structure belongs to space group P3m1 (No. 156); the cell edges are 4.3405, 4.3405 and 6.9935 Å and the angles 90.00°, 90.00° and 120.00°. Symmetry generates all atoms from Lu at (0.0000, 0.0000, 0.0000), Lu at (0.0000, 0.0000, 0.4702), Ga at (0.3333, 0.6667, 0.2170), Ga at (0.3333, 0.6667, 0.7845), Ga at (0.6667, 0.3333, 0.6868) and Cu at (0.6667, 0.3333, 0.2752).

The value obtained for the energy relative to the elements is -0.573 eV/atom.



No. 5
H2S: relaxed, PBE.

The structure belongs to space group Pmn2_1 (No. 31); the cell edges are 4.851, 4.576 and 4.753 Å and the angles 90.00°, 90.00° and 90.00°. Symmetry generates all atoms from H at (0.200, 0.131, 0.000) and S at (0.000, 0.252, 0.838).

For the energy above the most stable polymorph in this dataset, the calculation gives 0.013 eV/atom.



No. 6
Si2RhNO: relaxed, PBE.

The structure belongs to space group P1 (No. 1); the cell edges are 2.929, 4.964 and 5.029 Å and the angles 110.56°, 95.82° and 103.83°. Symmetry generates all atoms from Si at (0.000, 0.000, 0.000), Si at (0.377, 0.955, 0.446), Rh at (0.686, 0.342, 0.301), N at (0.872, 0.871, 0.618) and O at (0.036, 0.707, 0.102).

For the energy above the most stable polymorph in this dataset, the calculation gives 0.264 eV/atom.



No. 7
NaAcP2Pd5: relaxed, PBE.

The structure belongs to space group P4/mmm (No. 123); the cell edges are 4.284, 4.284 and 8.857 Å and the angles 90.00°, 90.00° and 90.00°. Symmetry generates all atoms from Na at (0.000, 0.000, 0.000), Ac at (0.000, 0.000, 0.500), P at (0.500, 0.500, 0.122), Pd at (0.000, 0.500, 0.250) and Pd at (0.500, 0.500, 0.500).

The value obtained for the energy relative to the elements is -0.652 eV/atom.



No. 8
NpPbO6: relaxed, PBE.

The structure belongs to space group P-1 (No. 2); the cell edges are 4.615, 5.540 and 6.091 Å and the angles 67.47°, 81.78° and 68.58°. Symmetry generates all atoms from Np at (0.000, 0.000, 0.000), Pb at (0.500, 0.500, 0.500), O at (0.067, 0.306, 0.742), O at (0.262, 0.006, 0.207) and O at (0.414, 0.604, 0.910).

The calculation puts the total DFT energy (no corrections) at -59.09 eV per cell.



In the order shown, the computed density values come out to 4.201 11.640 4.359 9.061 1.073 4.824 8.622 6.699 g cm⁻³.